VASP calculation (GGA-PBE) on an optimized crystal structure of YAl10Re2.

Cell and atoms, written as POSCAR:
```
YAl10Re2
1.0
4.593 -5.176 0.000
4.593 5.176 0.000
0.000 0.000 9.199
Y Al Re
2 20 4
Direct
0.130 0.870 0.750
0.870 0.130 0.250
0.141 0.408 0.750
0.150 0.850 0.096
0.150 0.850 0.404
0.211 0.471 0.250
0.226 0.226 0.000
0.226 0.226 0.500
0.376 0.624 0.536
0.376 0.624 0.964
0.408 0.141 0.250
0.471 0.211 0.750
0.529 0.789 0.250
0.592 0.859 0.750
0.624 0.376 0.036
0.624 0.376 0.464
0.774 0.774 0.000
0.774 0.774 0.500
0.789 0.529 0.750
0.850 0.150 0.596
0.850 0.150 0.904
0.859 0.592 0.250
0.000 0.500 0.000
0.000 0.500 0.500
0.500 0.000 0.000
0.500 0.000 0.500
```

calculated formation energy	-0.347	eV per atom
offset from the most stable computed form	11	meV per atom

VASP calculation (GGA-PBE) on an optimized crystal structure of YAl2Re.

Cell and atoms, written as POSCAR:
```
YAl2Re
1.0
4.163 0.000 0.000
0.000 4.163 0.000
0.000 0.000 19.136
Y Al Re
4 8 4
Direct
0.000 0.000 0.000
0.000 0.500 0.250
0.500 0.000 0.750
0.500 0.500 0.500
0.183 0.250 0.625
0.250 0.683 0.875
0.250 0.817 0.375
0.317 0.250 0.125
0.683 0.750 0.125
0.750 0.183 0.375
0.750 0.317 0.875
0.817 0.750 0.625
0.000 0.000 0.500
0.000 0.500 0.750
0.500 0.000 0.250
0.500 0.500 0.000
```

calculated formation energy	0.363	eV per atom
offset from the most stable computed form	591	meV per atom

VASP calculation (GGA-PBE) on an optimized crystal structure of Y2AlRe3.

Cell and atoms, written as POSCAR:
```
Y2AlRe3
1.0
2.677 1.546 4.536
-2.677 1.546 4.536
0.000 -3.092 4.536
Y Al Re
2 1 3
Direct
0.122 0.122 0.122
0.878 0.878 0.878
0.500 0.500 0.500
0.000 0.500 0.500
0.500 0.000 0.500
0.500 0.500 0.000
```

calculated formation energy	-0.306	eV per atom

Calculated volume: 16.8; 20.7; 18.8 (Å³/atom)